First-principles (PBE) data for a geometry-optimized K3La3PtO8 structure, as listed in Alexandria via LeMat-Bulk.

Cell lengths 7.184, 7.184, 7.518 Å; angles 118.54, 90.00, 120.00 degrees
Fractional positions:
K  0.000  0.000  0.000
K  0.000  0.500  0.000
K  0.500  0.500  0.000
La  0.500  0.000  0.500
La  0.500  0.500  0.500
La  0.000  0.500  0.500
Pt  0.000  0.000  0.500
O  0.270  0.540  0.310
O  0.730  0.460  0.690
O  0.794  0.588  0.324
O  0.206  0.412  0.676
O  0.794  0.030  0.324
O  0.206  0.970  0.676
O  0.236  0.030  0.324
O  0.764  0.970  0.676

## Properties
Total magnetization = 0.00 μB/f.u.
Symmetry = R-3m, No. 166
Raw formation energy = -2217.5 meV per atom